# 1
# TbHoMg

TbHoMg after structural relaxation (PBE, Alexandria).

Calculated values
* energy of formation from the pure elements: -0.04 eV per atom

a b c (Å): 6.9703 6.9703 6.9703
angles (deg): 149.62 149.62 43.50
Sites, in units of the cell vectors:
Tb 0.0000 0.0000 0.0000
Ho 0.6810 0.6810 0.0000
Mg 0.3388 0.3388 0.0000

***

# 2
# Tb3Ho8Mg

Tb3Ho8Mg after structural relaxation (PBE, Alexandria).

Calculated values
* energy of formation from the pure elements: 0.03 eV per atom

a b c (Å): 9.4347 3.5619 11.4236
angles (deg): 90.00 104.46 90.00
Sites, in units of the cell vectors:
Tb 0.0000 0.0000 0.0000
Tb 0.2108 0.5000 0.5168
Tb 0.4770 0.5000 0.7907
Ho 0.1538 0.0000 0.7657
Ho 0.3234 0.5000 0.0306
Ho 0.5418 0.0000 0.5480
Ho 0.5965 0.5000 0.2968
Ho 0.6597 0.0000 0.0484
Ho 0.8211 0.5000 0.7458
Ho 0.8830 0.0000 0.4904
Ho 0.9511 0.5000 0.2434
Mg 0.2724 0.0000 0.2714

***

These records have electronic total energy values of -3.64, -4.31 eV per atom, in the order they appear.